Arrangement 1

Here is a geometry-optimized Y2Au3 structure from OQMD. Energies are from GGA-PBE.

Cell lengths 7.7729, 7.7729, 3.7678 Å; angles 90.00, 90.00, 90.00 degrees
Space group P4/mbm (No. 127)
Inequivalent atoms, fractional coordinates:
Y (0.1724, 0.3276, 0.0000)
Au (0.0000, 0.0000, 0.5000)
Au (0.1291, 0.6291, 0.5000)

Values from the calculation:
M_tot: 0.001 μB/atom
crystal system: tetragonal

---

Arrangement 2

Here is a geometry-optimized Y2Au3 structure from OQMD. Energies are from GGA-PBE.

Cell lengths 7.9690, 7.9690, 3.8047 Å; angles 90.00, 90.00, 90.00 degrees
Space group P4/mbm (No. 127)
Inequivalent atoms, fractional coordinates:
Y (0.1658, 0.3342, 0.0000)
Au (0.0000, 0.0000, 0.0000)
Au (0.1301, 0.6301, 0.5000)

Values from the calculation:
M_tot: 0.001 μB/atom
crystal system: tetragonal

---

Order of stability, best first: arrangement 1, arrangement 2

---

Arrangement 1

Here is a geometry-optimized ZnAu15 structure from OQMD. Energies are from GGA-PBE.

Cell lengths 8.3353, 2.9030, 37.6310 Å; angles 90.00, 90.01, 90.00 degrees
Space group P2_1/m (No. 11)
Inequivalent atoms, fractional coordinates:
Zn (0.1249, 0.2500, 0.2882)
Au (0.1159, 0.2500, 0.7380)
Au (0.1251, 0.2500, 0.0590)
Au (0.1250, 0.2500, 0.1376)
Au (0.1250, 0.2500, 0.2156)
Au (0.1253, 0.2500, 0.9010)
Au (0.1252, 0.2500, 0.9801)
Au (0.1259, 0.2500, 0.8215)
Au (0.3659, 0.7500, 0.2620)
Au (0.3752, 0.7500, 0.0198)
Au (0.3753, 0.7500, 0.0990)
Au (0.3748, 0.7500, 0.7072)
Au (0.3751, 0.7500, 0.7833)
Au (0.3750, 0.7500, 0.8617)
Au (0.3751, 0.7500, 0.9408)
Au (0.3758, 0.7500, 0.1785)

Values from the calculation:
crystal system: monoclinic

---

Arrangement 2

Here is a geometry-optimized ZnAu15 structure from OQMD. Energies are from GGA-PBE.

Cell lengths 8.3128, 47.0426, 4.1162 Å; angles 90.00, 90.00, 90.00 degrees
Space group Pccm (No. 49)
Inequivalent atoms, fractional coordinates:
Zn (0.1717, 0.1679, 0.0000)
Au (0.1178, 0.2035, 0.5000)
Au (0.1197, 0.2521, 0.0000)
Au (0.1231, 0.2981, 0.5000)
Au (0.1251, 0.3430, 0.0000)
Au (0.1249, 0.3877, 0.5000)
Au (0.1250, 0.4326, 0.0000)
Au (0.1251, 0.4776, 0.5000)
Au (0.3682, 0.2544, 0.5000)
Au (0.3739, 0.2982, 0.0000)
Au (0.3748, 0.3429, 0.5000)
Au (0.3751, 0.3877, 0.0000)
Au (0.3749, 0.4326, 0.5000)
Au (0.3751, 0.4775, 0.0000)
Au (0.3777, 0.2113, 0.0000)
Au (0.3802, 0.1638, 0.5000)

Values from the calculation:
crystal system: orthorhombic

---

Arrangement 3

Here is a geometry-optimized ZnAu15 structure from OQMD. Energies are from GGA-PBE.

Cell lengths 5.8309, 4.1498, 37.6779 Å; angles 90.00, 90.04, 90.00 degrees
Space group P2_1/m (No. 11)
Inequivalent atoms, fractional coordinates:
Zn (0.1249, 0.2500, 0.2883)
Au (0.1182, 0.2500, 0.7381)
Au (0.1242, 0.2500, 0.8215)
Au (0.1251, 0.2500, 0.0590)
Au (0.1250, 0.2500, 0.1377)
Au (0.1249, 0.2500, 0.2166)
Au (0.1253, 0.2500, 0.9011)
Au (0.1248, 0.2500, 0.9801)
Au (0.3681, 0.7500, 0.2619)
Au (0.3741, 0.7500, 0.1784)
Au (0.3748, 0.7500, 0.0198)
Au (0.3752, 0.7500, 0.0988)
Au (0.3749, 0.7500, 0.7072)
Au (0.3750, 0.7500, 0.7840)
Au (0.3750, 0.7500, 0.8620)
Au (0.3751, 0.7500, 0.9409)

Values from the calculation:
crystal system: monoclinic

---

Arrangement 4

Here is a geometry-optimized ZnAu15 structure from OQMD. Energies are from GGA-PBE.

Cell lengths 5.8060, 2.9090, 47.5343 Å; angles 90.00, 90.00, 90.00 degrees
Space group P2_1/m (No. 11)
Inequivalent atoms, fractional coordinates:
Zn (0.1249, 0.2500, 0.3318)
Au (0.1230, 0.2500, 0.7076)
Au (0.1250, 0.2500, 0.0671)
Au (0.1250, 0.2500, 0.1568)
Au (0.1250, 0.2500, 0.2468)
Au (0.1248, 0.2500, 0.7982)
Au (0.1251, 0.2500, 0.8881)
Au (0.1250, 0.2500, 0.9776)
Au (0.3730, 0.7500, 0.2924)
Au (0.3750, 0.7500, 0.0224)
Au (0.3751, 0.7500, 0.1119)
Au (0.3748, 0.7500, 0.2018)
Au (0.3750, 0.7500, 0.6638)
Au (0.3750, 0.7500, 0.7530)
Au (0.3750, 0.7500, 0.8432)
Au (0.3750, 0.7500, 0.9329)

Values from the calculation:
crystal system: monoclinic

---

Order of stability, best first: arrangement 2, arrangement 4, arrangement 3, arrangement 1